1.
## ScHIrPb2 (SCAN)

Data for a PBEsol-optimized structure of ScHIrPb2.

Cell lengths 3.9771, 4.6284, 4.6284 Å; angles 90.00, 90.00, 90.00 degrees
Closest atoms and distances in Å follow each position.
Positions (direct):
Ir  0.5000  0.5000  0.5000  8 Pb 3.05, 4 Sc 3.27
Pb  0.0000  0.5000  0.0000  2 H 2.31
H  0.0000  0.0000  0.0000  2 Sc 1.99
Pb  0.0000  0.0000  0.5000  2 H 2.31
Sc  0.5000  0.0000  0.0000  2 H 1.99

Computed properties:
Its total energy is -239.68 eV for the cell shown.



2.
## SrHIrPd2 (SCAN)

Data for a PBEsol-optimized structure of SrHIrPd2.

Cell lengths 5.0638, 5.1325, 5.1325 Å; angles 90.00, 90.00, 90.00 degrees
Closest atoms and distances in Å follow each position.
Positions (direct):
Pd  0.0000  0.5000  0.0000  2 Sr 2.57
Pd  0.0000  0.0000  0.5000  2 Sr 2.57
H  0.5000  0.5000  0.5000  8 Pd 3.61, 4 Ir 3.63
Sr  0.0000  0.0000  0.0000  2 Ir 2.53, 4 Pd 2.57
Ir  0.5000  0.0000  0.0000  2 Sr 2.53

Computed properties:
Its total energy is -151.42 eV for the cell shown.



3.
## Rb2H2Ir (SCAN)

Data for a PBEsol-optimized structure of Rb2H2Ir.

Cell lengths 4.9045, 5.9349, 5.9349 Å; angles 90.00, 90.00, 90.00 degrees
Closest atoms and distances in Å follow each position.
Positions (direct):
H  0.0000  0.7705  0.7295  2 Ir 2.11
H  0.0000  0.7295  0.2295  2 Ir 2.11
Rb  0.5000  0.6764  0.8236  2 H 2.58
H  0.0000  0.2705  0.7705  2 Ir 2.11
H  0.0000  0.2295  0.2705  2 Ir 2.11
Rb  0.5000  0.1764  0.6764  2 H 2.58
Ir  0.0000  0.5000  0.5000  4 H 2.11
Ir  0.0000  0.0000  0.0000  4 H 2.11
Rb  0.5000  0.3236  0.1764  2 H 2.58
Rb  0.5000  0.8236  0.3236  2 H 2.58

Computed properties:
Its total energy is -233.30 eV for the cell shown.



Copy entry 1 word for word.
## ScHIrPb2 (SCAN)

Data for a PBEsol-optimized structure of ScHIrPb2.

Cell lengths 3.9771, 4.6284, 4.6284 Å; angles 90.00, 90.00, 90.00 degrees
Closest atoms and distances in Å follow each position.
Positions (direct):
Ir  0.5000  0.5000  0.5000  8 Pb 3.05, 4 Sc 3.27
Pb  0.0000  0.5000  0.0000  2 H 2.31
H  0.0000  0.0000  0.0000  2 Sc 1.99
Pb  0.0000  0.0000  0.5000  2 H 2.31
Sc  0.5000  0.0000  0.0000  2 H 1.99

Computed properties:
Its total energy is -239.68 eV for the cell shown.